Entry from Alexandria via LeMat-Bulk: PmNd5Al2 after structural relaxation (PBE-GGA).

a b c (Å): 5.4608 5.4608 20.1626
angles (deg): 90.00 90.00 120.00
Space group P6_3/mmc (No. 194)
Asymmetric unit:
Pm1 0.3333 0.6667 0.2500 (multiplicity 2)
Nd1 0.0000 0.0000 0.1545 (multiplicity 4)
Nd2 0.3333 0.6667 0.5562 (multiplicity 4)
Nd3 0.3333 0.6667 0.7500 (multiplicity 2)
Al1 0.3333 0.6667 0.0992 (multiplicity 4)

ΔH_f (0 K) in eV/f.u.: -0.077
D(E_F) in states/eV/atom: 1.741
Energy above the lowest structure with this stoichiometry in eV per atom: 0.057
Size of the total moment in μB/cell: 0.000